DFT (PBE+U) results for crystalline Cd2CoAgF8 at its relaxed geometry.

Cell: 5.0285 7.0692 5.0333 Å, 90.00 90.38 90.00°
Sites, in units of the cell vectors:
Cd 0.0000 0.2421 0.0000
Cd 0.0000 0.7579 0.0000
Co 0.5000 0.0000 0.5000
Ag 0.5000 0.5000 0.5000
F 0.1866 0.5000 0.1943
F 0.2103 0.0000 0.2185
F 0.3180 0.2060 0.6899
F 0.3180 0.7940 0.6899
F 0.6820 0.2060 0.3101
F 0.6820 0.7940 0.3101
F 0.7897 0.0000 0.7815
F 0.8134 0.5000 0.8057

Properties
The volume is 178.9 Å³/f.u. The calculation puts the total energy at -0.2923 Ry per atom. Its crystal system is monoclinic. The value obtained for the magnetic moment is 4.021 μB per cell. As for the space group: No. 10.